# KScTl2, relaxed, DFT PBE
data_KScTl2
_chemical_formula_sum 'K1 Sc1 Tl2'
_symmetry_space_group_name_H-M 'P m m 2'
_symmetry_Int_Tables_number 25
_symmetry_space_group_name_Hall 'P 2 -2'
_cell_length_a 3.444
_cell_length_b 4.928
_cell_length_c 7.617
_cell_angle_alpha 90.00
_cell_angle_beta 90.00
_cell_angle_gamma 90.00
loop_
_atom_site_label
_atom_site_type_symbol
_atom_site_fract_x
_atom_site_fract_y
_atom_site_fract_z
K1 K 0.000 0.000 0.000
Sc1 Sc 0.500 0.500 0.364
Tl1 Tl 0.000 0.000 0.463
Tl2 Tl 0.500 0.500 0.749
# Spin magnetization: 0.0 μB per formula unit
# ΔE to the lowest computed polymorph: 217 meV per atom
# Energy of formation: 75.5 meV per atom
# Fermi-level density of states: 0.658 states/eV/atom

# KScTl, relaxed, DFT PBE
data_KScTl
_chemical_formula_sum 'K4 Sc4 Tl4'
_symmetry_space_group_name_H-M 'I 4/m m m'
_symmetry_Int_Tables_number 139
_symmetry_space_group_name_Hall '-I 4 2'
_cell_length_a 3.854
_cell_length_b 3.854
_cell_length_c 28.127
_cell_angle_alpha 90.00
_cell_angle_beta 90.00
_cell_angle_gamma 90.00
loop_
_atom_site_label
_atom_site_type_symbol
_atom_site_fract_x
_atom_site_fract_y
_atom_site_fract_z
K1 K 0.000 0.000 0.077
Sc1 Sc 0.000 0.000 0.216
Tl1 Tl 0.000 0.000 0.333
# Spin magnetization: 0.2 μB per formula unit
# ΔE to the lowest computed polymorph: 0 meV per atom
# Energy of formation: -87.6 meV per atom
# Fermi-level density of states: 0.823 states/eV/atom

# KSc3Tl, relaxed, DFT PBE
data_KSc3Tl
_chemical_formula_sum 'K1 Sc3 Tl1'
_symmetry_space_group_name_H-M 'P m -3 m'
_symmetry_Int_Tables_number 221
_symmetry_space_group_name_Hall '-P 4 2 3'
_cell_length_a 5.070
_cell_length_b 5.070
_cell_length_c 5.070
_cell_angle_alpha 90.00
_cell_angle_beta 90.00
_cell_angle_gamma 90.00
loop_
_atom_site_label
_atom_site_type_symbol
_atom_site_fract_x
_atom_site_fract_y
_atom_site_fract_z
K1 K 0.000 0.000 0.000
Sc1 Sc 0.000 0.000 0.500
Tl1 Tl 0.500 0.500 0.500
# Spin magnetization: 0.0 μB per formula unit
# ΔE to the lowest computed polymorph: 725 meV per atom
# Energy of formation: 1272.9 meV per atom
# Fermi-level density of states: 0.902 states/eV/atom